InTc2Br PBE relaxed; N(E_F) = 1.124 states/eV per atom; ΔE_f (raw) = 0.938 eV per atom; DFT total energy = -5.35 eV/atom
1.0
-2.101 2.101 4.014
2.101 -2.101 4.014
2.101 2.101 -4.014
In Tc Br
1 2 1
Direct
0.000 0.000 0.000 In
0.250 0.750 0.500 Tc
0.500 0.500 0.000 Tc
0.750 0.250 0.500 Br